Record 1
Computed, not measured: crystalline BeCd2Cu at its relaxed geometry at the PBE level of DFT.

Properties
Calculated formation energy (eV/atom): 0.30
Distance to the lowest polymorph of the same formula (meV/atom): 173
Calculated total energy (eV per cell): -8.45
Volume (Å³/f.u.): 63.24

Cell: 4.963 4.963 4.963 Å, 133.48 133.48 67.90°
Fractional coordinates of all 4 atoms:
Be1 0.000 0.000 0.000
Cd1 0.250 0.750 0.500
Cd2 0.500 0.500 0.000
Cu1 0.750 0.250 0.500

=====

Record 2
Computed, not measured: crystalline BeCd4Cu at its relaxed geometry at the PBE level of DFT.

Properties
Calculated formation energy (eV/atom): 0.58
Calculated total energy (eV per cell): -7.98
Volume (Å³/f.u.): 121.80

Cell: 5.564 5.564 5.564 Å, 60.00 60.00 60.00°
Fractional coordinates of all 6 atoms:
Be1 0.000 0.000 0.000
Cd1 0.125 0.625 0.625
Cd2 0.625 0.125 0.625
Cd3 0.625 0.625 0.125
Cd4 0.625 0.625 0.625
Cu1 0.250 0.250 0.250

=====

Record 3
Computed, not measured: crystalline Be2CdCu at its relaxed geometry at the PBE level of DFT.

Properties
Calculated formation energy (eV/atom): 0.25
Calculated total energy (eV per cell): -11.46
Volume (Å³/f.u.): 48.73

Cell: 3.986 3.986 3.067 Å, 90.00 90.00 90.00°
Fractional coordinates of all 4 atoms:
Be1 0.000 0.500 0.000
Be2 0.500 0.000 0.000
Cd1 0.000 0.000 0.500
Cu1 0.500 0.500 0.500

=====

Record 4
Computed, not measured: crystalline Be3CdCu at its relaxed geometry at the PBE level of DFT.

Properties
Calculated formation energy (eV/atom): 1.26
Distance to the lowest polymorph of the same formula (meV/atom): 687
Calculated total energy (eV per cell): -9.89
Volume (Å³/f.u.): 84.14

Cell: 4.382 4.382 4.382 Å, 90.00 90.00 90.00°
Fractional coordinates of all 5 atoms:
Be1 0.000 0.000 0.500
Be2 0.000 0.500 0.000
Be3 0.500 0.000 0.000
Cd1 0.000 0.000 0.000
Cu1 0.500 0.500 0.500

=====

Record 5
Computed, not measured: crystalline BeCd2Cu at its relaxed geometry at the PBE level of DFT.

Properties
Calculated formation energy (eV/atom): 0.26
Distance to the lowest polymorph of the same formula (meV/atom): 134
Calculated total energy (eV per cell): -8.60
Volume (Å³/f.u.): 62.46

Cell: 3.066 3.280 6.210 Å, 90.00 90.83 90.00°
Fractional coordinates of all 4 atoms:
Be1 0.000 0.000 0.000
Cd1 0.497 0.500 0.242
Cd2 0.503 0.500 0.758
Cu1 0.000 0.000 0.500

=====

Record 6
Computed, not measured: crystalline Be2CdCu at its relaxed geometry at the PBE level of DFT.

Properties
Calculated formation energy (eV/atom): 0.33
Calculated total energy (eV per cell): -11.15
Volume (Å³/f.u.): 50.49

Cell: 4.149 4.149 4.149 Å, 60.00 60.00 60.00°
Fractional coordinates of all 4 atoms:
Be1 0.000 0.000 0.000
Be2 0.250 0.250 0.250
Cd1 0.750 0.750 0.750
Cu1 0.500 0.500 0.500

=====

Record 7
Computed, not measured: crystalline BeCd2Cu at its relaxed geometry at the PBE level of DFT.

Properties
Calculated formation energy (eV/atom): 0.13
Distance to the lowest polymorph of the same formula (meV/atom): 0
Calculated total energy (eV per cell): -9.14
Volume (Å³/f.u.): 62.78

Cell: 2.977 2.977 7.081 Å, 90.00 90.00 90.00°
Fractional coordinates of all 4 atoms:
Be1 0.000 0.000 0.000
Cd1 0.000 0.000 0.594
Cd2 0.500 0.500 0.258
Cu1 0.500 0.500 0.860

=====

Record 8
Computed, not measured: crystalline Be2CdCu at its relaxed geometry at the PBE level of DFT.

Properties
Calculated formation energy (eV/atom): 0.37
Calculated total energy (eV per cell): -10.96
Volume (Å³/f.u.): 52.00

Cell: 8.308 8.308 8.308 Å, 18.79 18.79 18.79°
Fractional coordinates of all 4 atoms:
Be1 0.238 0.238 0.238
Be2 0.762 0.762 0.762
Cd1 0.000 0.000 0.000
Cu1 0.500 0.500 0.500